No. 1
## CaLa2Ru (GGA-PBE)

Data for CaLa2Ru after structural relaxation.

abc: 9.8889 9.8889 9.8889
angles: 24.13 24.13 24.13
Element x y z (fractional)
1 Ca 0.0000 0.0000 0.0000
2 La 0.5516 0.5516 0.5516
3 La 0.7793 0.7793 0.7793
4 Ru 0.1649 0.1649 0.1649

Summary:
As for the space group: R3m, No. 160. For the total moment, the calculation gives 0.00 μB/f.u. The formation enthalpy at 0 K is -164 meV per atom. For the uncorrected energy, the calculation gives -5.447 eV per atom. As for the calculated volume: 35.51 Å³ per atom. The value obtained for the energy above the lowest structure with this stoichiometry is 0.043 eV/atom.

***

No. 2
## CsKNa2 (GGA-PBE)

Data for CsKNa2 after structural relaxation.

abc: 8.5035 8.5035 9.5835
angles: 90.00 90.00 133.39
Element x y z (fractional)
1 Cs 0.0821 0.9179 0.7500
2 Cs 0.9179 0.0821 0.2500
3 K 0.2143 0.7857 0.2500
4 K 0.7857 0.2143 0.7500
5 Na 0.3917 0.6083 0.5650
6 Na 0.3917 0.6083 0.9350
7 Na 0.6083 0.3917 0.0650
8 Na 0.6083 0.3917 0.4350

Summary:
As for the space group: Cmcm, No. 63. For the total moment, the calculation gives 0.00 μB/f.u. The formation enthalpy at 0 K is 34 meV per atom. For the uncorrected energy, the calculation gives -1.114 eV per atom. As for the calculated volume: 62.94 Å³ per atom. The value obtained for the energy above the lowest structure with this stoichiometry is 0.013 eV/atom.

***

No. 3
## Pm3Sm (GGA-PBE)

Data for Pm3Sm after structural relaxation.

abc: 3.6789 5.8948 6.3755
angles: 90.00 90.00 90.00
Element x y z (fractional)
1 Pm 0.0000 0.0000 0.0000
2 Pm 0.0000 0.5000 0.3329
3 Pm 0.5000 0.5000 0.8329
4 Sm 0.5000 0.0000 0.5003

Summary:
As for the space group: Pmm2, No. 25. For the total moment, the calculation gives 0.00 μB/f.u. The formation enthalpy at 0 K is 32 meV per atom. For the uncorrected energy, the calculation gives -4.711 eV per atom. As for the calculated volume: 34.57 Å³ per atom. The value obtained for the energy above the lowest structure with this stoichiometry is 0.031 eV/atom.

***

No. 4
## TbAl2GaNi2 (GGA-PBE)

Data for TbAl2GaNi2 after structural relaxation.

abc: 4.3639 4.3639 5.5644
angles: 90.00 90.00 90.00
Element x y z (fractional)
1 Tb 0.0000 0.0000 0.0000
2 Al 0.5000 0.5000 0.2484
3 Al 0.5000 0.5000 0.7516
4 Ga 0.0000 0.0000 0.5000
5 Ni 0.0000 0.5000 0.5000
6 Ni 0.5000 0.0000 0.5000

Summary:
As for the space group: P4/mmm, No. 123. For the total moment, the calculation gives 0.00 μB/f.u. The formation enthalpy at 0 K is -318 meV per atom. For the uncorrected energy, the calculation gives -4.769 eV per atom. As for the calculated volume: 17.66 Å³ per atom.

***

No. 5
## MgTl2Re (GGA-PBE)

Data for MgTl2Re after structural relaxation.

abc: 5.1981 5.1981 3.1918
angles: 90.00 90.00 107.97
Element x y z (fractional)
1 Mg 0.0000 0.0000 0.0000
2 Tl 0.0000 0.5000 0.5000
3 Tl 0.5000 0.0000 0.5000
4 Re 0.5000 0.5000 0.0000

Summary:
As for the space group: Cmmm, No. 65. For the total moment, the calculation gives 1.48 μB/f.u. The formation enthalpy at 0 K is 814 meV per atom. For the uncorrected energy, the calculation gives -3.880 eV per atom. As for the calculated volume: 20.51 Å³ per atom. The value obtained for the energy above the lowest structure with this stoichiometry is 0.226 eV/atom.

***

No. 6
## ZrTiPO2 (GGA-PBE)

Data for ZrTiPO2 after structural relaxation.

abc: 3.9923 3.9923 5.5065
angles: 90.00 90.00 90.00
Element x y z (fractional)
1 Zr 0.0000 0.0000 0.0000
2 Ti 0.5000 0.5000 0.5000
3 P 0.0000 0.0000 0.5000
4 O 0.0000 0.5000 0.0000
5 O 0.5000 0.0000 0.0000

Summary:
As for the space group: P4/mmm, No. 123. The value obtained for the uncorrected formation energy is -1451 meV/atom. For the total moment, the calculation gives 0.98 μB/f.u. For the uncorrected energy, the calculation gives -7.805 eV per atom. As for the calculated volume: 17.55 Å³ per atom. The value obtained for the energy above the lowest structure with this stoichiometry is 0.319 eV/atom.

***

No. 7
## FeNiW (GGA-PBE)

Data for FeNiW after structural relaxation.

abc: 3.9345 3.9345 3.9345
angles: 60.00 60.00 60.00
Element x y z (fractional)
1 Fe 0.0000 0.0000 0.0000
2 Ni 0.2500 0.2500 0.2500
3 W 0.7500 0.7500 0.7500

Summary:
As for the space group: F-43m, No. 216. For the total moment, the calculation gives 0.00 μB/f.u. The formation enthalpy at 0 K is 605 meV per atom. For the uncorrected energy, the calculation gives -8.460 eV per atom. As for the calculated volume: 14.36 Å³ per atom. The value obtained for the energy above the lowest structure with this stoichiometry is 0.532 eV/atom.

***

No. 8
## SrIn8Ni4 (GGA-PBE)

Data for SrIn8Ni4 after structural relaxation.

abc: 7.3066 7.3066 7.3066
angles: 98.62 98.62 134.44
Element x y z (fractional)
1 Sr 0.0000 0.0000 0.0000
2 In 0.0000 0.3364 0.3364
3 In 0.0000 0.6636 0.6636
4 In 0.2766 0.5000 0.7766
5 In 0.3364 0.0000 0.3364
6 In 0.5000 0.2766 0.7766
7 In 0.5000 0.7234 0.2234
8 In 0.6636 0.0000 0.6636
9 In 0.7234 0.5000 0.2234
10 Ni 0.0000 0.0000 0.5000
11 Ni 0.0000 0.5000 0.0000
12 Ni 0.5000 0.0000 0.0000
13 Ni 0.5000 0.5000 0.5000

Summary:
As for the space group: I4/mmm, No. 139. For the total moment, the calculation gives 0.00 μB/f.u. The formation enthalpy at 0 K is -135 meV per atom. For the uncorrected energy, the calculation gives -3.728 eV per atom. As for the calculated volume: 19.75 Å³ per atom.

***

No. 9
## Pr2SmHo2Tm2 (GGA-PBE)

Data for Pr2SmHo2Tm2 after structural relaxation.

abc: 6.1239 6.1239 11.8629
angles: 108.24 108.24 33.44
Element x y z (fractional)
1 Pr 0.1711 0.1711 0.0848
2 Pr 0.8289 0.8289 0.9152
3 Sm 0.5000 0.5000 0.5000
4 Ho 0.0492 0.0492 0.7689
5 Ho 0.9508 0.9508 0.2311
6 Tm 0.2740 0.2740 0.6349
7 Tm 0.7260 0.7260 0.3651

Summary:
As for the space group: C2/m, No. 12. For the total moment, the calculation gives 0.00 μB/f.u. The formation enthalpy at 0 K is 87 meV per atom. For the uncorrected energy, the calculation gives -4.539 eV per atom. As for the calculated volume: 33.10 Å³ per atom.

***

No. 10
## WSe2I (GGA-PBE)

Data for WSe2I after structural relaxation.

abc: 12.0796 12.0796 12.0796
angles: 15.88 15.88 15.88
Element x y z (fractional)
1 W 0.0000 0.0000 0.0000
2 Se 0.3809 0.3809 0.3809
3 Se 0.6191 0.6191 0.6191
4 I 0.5000 0.5000 0.5000

Summary:
As for the space group: R-3m, No. 166. The value obtained for the uncorrected formation energy is -166 meV/atom. For the total moment, the calculation gives 0.00 μB/f.u. For the uncorrected energy, the calculation gives -5.534 eV per atom. As for the calculated volume: 28.76 Å³ per atom. The value obtained for the energy above the lowest structure with this stoichiometry is 0.114 eV/atom.

***

No. 11
## ZrSb2Os (GGA-PBE)

Data for ZrSb2Os after structural relaxation.

abc: 4.8199 4.8199 3.4077
angles: 90.00 90.00 90.00
Element x y z (fractional)
1 Zr 0.0000 0.0000 0.0000
2 Sb 0.0000 0.5000 0.5000
3 Sb 0.5000 0.0000 0.5000
4 Os 0.5000 0.5000 0.0000

Summary:
As for the space group: P4/mmm, No. 123. The value obtained for the uncorrected formation energy is 4 meV/atom. For the total moment, the calculation gives 0.00 μB/f.u. For the uncorrected energy, the calculation gives -7.001 eV per atom. As for the calculated volume: 19.79 Å³ per atom. The value obtained for the energy above the lowest structure with this stoichiometry is 0.202 eV/atom.

***

No. 12
## TmHg2 (GGA-PBE)

Data for TmHg2 after structural relaxation.

abc: 5.1622 5.1622 8.0607
angles: 90.03 90.03 137.09
Element x y z (fractional)
1 Tm 0.0657 0.9343 0.7500
2 Tm 0.9343 0.0657 0.2500
3 Hg 0.3542 0.6446 0.9336
4 Hg 0.3554 0.6458 0.5664
5 Hg 0.6446 0.3542 0.4336
6 Hg 0.6458 0.3554 0.0664

Summary:
As for the space group: C2/c, No. 15. For the total moment, the calculation gives 0.00 μB/f.u. The formation enthalpy at 0 K is -353 meV per atom. For the uncorrected energy, the calculation gives -2.045 eV per atom. As for the calculated volume: 24.37 Å³ per atom.

***

What did the eleventh record say?
## ZrSb2Os (GGA-PBE)

Data for ZrSb2Os after structural relaxation.

abc: 4.8199 4.8199 3.4077
angles: 90.00 90.00 90.00
Element x y z (fractional)
1 Zr 0.0000 0.0000 0.0000
2 Sb 0.0000 0.5000 0.5000
3 Sb 0.5000 0.0000 0.5000
4 Os 0.5000 0.5000 0.0000

Summary:
As for the space group: P4/mmm, No. 123. The value obtained for the uncorrected formation energy is 4 meV/atom. For the total moment, the calculation gives 0.00 μB/f.u. For the uncorrected energy, the calculation gives -7.001 eV per atom. As for the calculated volume: 19.79 Å³ per atom. The value obtained for the energy above the lowest structure with this stoichiometry is 0.202 eV/atom.

***

What is the calculated volume in the tenth record?
28.76 Å³ per atom

***

What did the first record say?
## CaLa2Ru (GGA-PBE)

Data for CaLa2Ru after structural relaxation.

abc: 9.8889 9.8889 9.8889
angles: 24.13 24.13 24.13
Element x y z (fractional)
1 Ca 0.0000 0.0000 0.0000
2 La 0.5516 0.5516 0.5516
3 La 0.7793 0.7793 0.7793
4 Ru 0.1649 0.1649 0.1649

Summary:
As for the space group: R3m, No. 160. For the total moment, the calculation gives 0.00 μB/f.u. The formation enthalpy at 0 K is -164 meV per atom. For the uncorrected energy, the calculation gives -5.447 eV per atom. As for the calculated volume: 35.51 Å³ per atom. The value obtained for the energy above the lowest structure with this stoichiometry is 0.043 eV/atom.